Pr6TeAs2P3 after structural relaxation. Source: the Alexandria database, functional GGA-PBE.

Calculated values
total magnetization: 0.00 μB/f.u.
space-group type: C2/m
total energy: -6.3097 eV/atom

Lattice parameters (Å, degrees): 9.6017 9.6017 8.6263 103.15 103.15 25.75
Last column: nearest neighbours and their distance in Å.
Fractional positions:
Pr 0.0013 0.0013 0.2297  3 P 2.91-2.99, 1 As 3.06, 2 Te 3.17
Pr 0.3259 0.3259 0.4165  3 P 2.92-3.02, 2 As 3.06, 1 Te 3.17
Pr 0.3337 0.3337 0.9137  3 P 3.02-3.03, 3 As 3.04-3.06
Pr 0.6663 0.6663 0.0863  3 P 3.02-3.03, 3 As 3.04-3.06
Pr 0.6741 0.6741 0.5835  3 P 2.92-3.02, 2 As 3.06, 1 Te 3.17
Pr 0.9987 0.9987 0.7703  3 P 2.91-2.99, 1 As 3.06, 2 Te 3.17
Te 0.5000 0.5000 0.5000  6 Pr 3.17
As 0.1666 0.1666 0.8326  6 Pr 3.04-3.06
As 0.8334 0.8334 0.1674  6 Pr 3.04-3.06
P 0.1652 0.1652 0.3327  6 Pr 2.92-3.02
P 0.5000 0.5000 0.0000  6 Pr 2.91-3.03
P 0.8348 0.8348 0.6673  6 Pr 2.92-3.02